16
Lattice="4.290 0.000 0.000 0.000 4.290 0.000 0.000 0.000 9.140" Properties=species:S:1:pos:R:3 comment="Li2VSnO4 | Alexandria via LeMat-Bulk | PBE with a Hubbard U | optimized geometry" final_energy_ev_per_atom=-6.19 m_tot_mub_per_fu=2.8 dos_at_fermi_per_ev_fu=1.6 space_group="I-4m2 (119)" vol_a3_per_cell=168 pbc="T T T"
Li 0.000 0.000 0.000
Li 0.000 2.145 2.285
Li 2.145 0.000 6.855
Li 2.145 2.145 4.570
V 0.000 2.145 6.855
V 2.145 0.000 2.285
Sn 0.000 0.000 4.570
Sn 2.145 2.145 0.000
O 0.000 0.000 2.478
O 0.000 0.000 6.662
O 0.000 2.145 4.669
O 0.000 2.145 9.041
O 2.145 0.000 0.099
O 2.145 0.000 4.471
O 2.145 2.145 2.092
O 2.145 2.145 7.048

=====

28
Lattice="6.081 0.000 0.000 0.000 6.081 0.000 0.000 0.000 8.779" Properties=species:S:1:pos:R:3 comment="LiVSnO4 | Alexandria via LeMat-Bulk | PBE with a Hubbard U | optimized geometry" e_above_lowest_polymorph_ev_per_fu=0.535 m_tot_mub_per_fu=2.0 space_group="P4_322 (95)" vol_a3_per_cell=325 pbc="T T T"
Li 0.000 1.424 0.000
Li 0.000 4.657 4.390
Li 1.424 0.000 2.195
Li 4.657 0.000 6.584
V 1.460 3.041 2.195
V 3.041 1.460 0.000
V 3.041 4.621 4.390
V 4.621 3.041 6.584
Sn 1.535 1.535 5.487
Sn 1.535 4.546 7.682
Sn 4.546 1.535 3.292
Sn 4.546 4.546 1.097
O 0.101 1.585 2.182
O 0.101 4.496 2.207
O 1.585 0.101 0.012
O 1.585 5.980 4.377
O 1.594 2.936 0.108
O 1.594 3.145 4.281
O 2.936 1.594 2.086
O 2.936 4.487 2.303
O 3.145 1.594 6.693
O 3.145 4.487 6.476
O 4.487 2.936 8.671
O 4.487 3.145 4.498
O 4.496 0.101 8.767
O 4.496 5.980 4.402
O 5.980 1.585 6.597
O 5.980 4.496 6.572

=====

28
Lattice="6.014 0.000 0.000 3.004 5.390 0.000 0.012 3.331 9.901" Properties=species:S:1:pos:R:3 comment="Li2V3SnO8 | Alexandria via LeMat-Bulk | PBE with a Hubbard U | optimized geometry" e_above_lowest_polymorph_ev_per_fu=0.255 m_tot_mub_per_fu=5.0 space_group="P-1 (2)" vol_a3_per_cell=321 pbc="T T T"
Li 1.479 2.596 1.862
Li 4.485 4.462 3.090
Li 4.545 4.259 6.811
Li 7.552 6.125 8.039
V 0.000 0.000 0.000
V 0.006 1.666 4.951
V 4.548 7.888 7.428
V 3.007 0.000 0.000
V 3.013 1.666 4.951
V 4.483 0.833 2.474
Sn 1.508 4.361 4.951
Sn 4.509 2.695 0.000
O 2.869 5.404 3.760
O 3.165 7.067 8.700
O 1.560 2.555 3.871
O 1.602 4.036 8.787
O 4.599 6.353 6.063
O 2.921 3.309 6.114
O 4.552 4.505 1.078
O 3.094 1.646 1.154
O 5.937 7.075 8.747
O 4.479 4.216 8.823
O 6.109 5.413 3.787
O 4.432 2.368 3.839
O 7.428 4.685 1.114
O 7.471 6.166 6.031
O 5.865 1.654 1.202
O 6.162 3.318 6.141

=====

28
Lattice="6.098 0.000 0.000 3.043 5.341 0.000 0.040 0.125 9.739" Properties=species:S:1:pos:R:3 comment="Li4V5Sn3O16 | Alexandria via LeMat-Bulk | PBE with a Hubbard U | optimized geometry" final_energy_ev_per_atom=-6.80 m_tot_mub_per_fu=9.0 space_group="P1 (1)" vol_a3_per_cell=317 pbc="T T T"
Li 0.000 0.000 0.000
Li 3.098 5.297 4.803
Li 3.064 1.729 5.795
Li 6.073 3.373 0.991
V 1.573 0.764 2.719
V 3.031 1.614 0.065
V 4.571 0.781 2.737
V 6.142 3.488 4.910
V 6.122 1.790 7.582
Sn 3.054 3.399 2.708
Sn 4.621 4.419 7.587
Sn 7.624 4.422 7.596
O 3.071 5.324 6.586
O 3.106 5.229 1.772
O 1.675 2.373 1.478
O 1.517 0.900 8.678
O 3.076 3.605 8.773
O 2.997 1.643 3.805
O 4.592 4.384 3.822
O 2.970 0.103 1.567
O 4.404 2.367 1.474
O 6.124 5.125 6.301
O 4.793 2.733 6.324
O 6.120 3.552 8.725
O 4.642 0.892 8.692
O 7.661 4.395 3.835
O 6.202 1.596 3.725
O 7.456 2.740 6.335

=====

56
Lattice="8.597 0.000 0.000 0.000 8.597 0.000 0.000 0.000 8.602" Properties=species:S:1:pos:R:3 comment="Li2V3SnO8 | Alexandria via LeMat-Bulk | PBE with a Hubbard U | optimized geometry" e_above_lowest_polymorph_ev_per_fu=0.325 m_tot_mub_per_fu=5.0 space_group="P4_32_12 (96)" vol_a3_per_cell=636 pbc="T T T"
Li 0.031 2.131 3.246
Li 2.131 0.031 5.357
Li 2.168 4.330 1.095
Li 4.268 6.429 3.206
Li 4.330 2.168 7.507
Li 6.429 4.268 5.396
Li 6.467 8.566 1.055
Li 8.566 6.467 7.547
V 1.004 5.391 4.371
V 1.093 3.295 6.522
V 1.119 1.119 0.000
V 3.180 5.417 6.452
V 3.206 7.594 8.533
V 3.295 1.093 2.081
V 5.302 7.505 6.382
V 5.391 1.004 4.231
V 5.417 3.180 2.151
V 7.479 7.479 4.301
V 7.505 5.302 2.220
V 7.594 3.206 0.070
Sn 1.081 7.516 2.151
Sn 3.217 3.217 4.301
Sn 5.380 5.380 0.000
Sn 7.516 1.081 6.452
O 0.862 7.485 4.254
O 0.996 5.439 2.347
O 1.025 3.076 8.561
O 1.030 1.227 6.595
O 1.112 7.735 0.047
O 1.141 3.302 4.497
O 1.222 5.323 6.411
O 1.227 1.030 2.007
O 3.072 5.329 4.445
O 3.076 1.025 0.041
O 3.158 7.601 1.954
O 3.186 3.436 6.405
O 3.268 5.525 8.459
O 3.274 7.375 6.493
O 3.302 1.141 4.105
O 3.436 3.186 2.198
O 5.161 5.411 6.499
O 5.295 7.457 8.406
O 5.323 1.222 2.192
O 5.329 3.072 4.158
O 5.411 5.161 2.104
O 5.439 0.996 6.256
O 5.521 7.573 4.342
O 5.525 3.268 0.143
O 7.370 7.567 6.308
O 7.375 3.274 2.110
O 7.457 5.295 0.196
O 7.485 0.862 4.348
O 7.567 7.370 2.294
O 7.573 5.521 4.260
O 7.601 3.158 6.648
O 7.735 1.112 8.556

=====

56
Lattice="8.485 0.000 0.000 0.000 8.617 0.000 0.000 0.000 8.626" Properties=species:S:1:pos:R:3 comment="Li2V3SnO8 | Alexandria via LeMat-Bulk | PBE with a Hubbard U | optimized geometry" e_above_lowest_polymorph_ev_per_fu=0.783 m_tot_mub_per_fu=5.0 space_group="P2_12_12_1 (19)" vol_a3_per_cell=631 pbc="T T T"
Li 0.049 0.017 0.036
Li 1.067 3.223 7.558
Li 3.175 5.394 3.246
Li 4.194 8.599 4.348
Li 4.291 4.291 8.590
Li 5.310 1.086 1.067
Li 7.418 7.531 5.380
Li 8.436 4.326 4.277
V 1.080 1.089 5.495
V 1.113 7.460 3.241
V 1.224 5.408 1.149
V 3.019 3.209 5.462
V 3.130 1.157 7.554
V 3.162 7.527 1.182
V 5.323 3.219 3.131
V 5.355 5.465 5.385
V 5.467 7.517 7.476
V 7.261 1.099 3.163
V 7.372 3.152 1.072
V 7.405 5.398 7.444
Sn 2.086 2.144 2.207
Sn 2.157 6.473 6.520
Sn 6.329 2.164 6.419
Sn 6.399 6.452 2.106
O 0.934 0.973 3.388
O 0.975 5.354 7.675
O 0.972 5.498 3.007
O 0.985 3.371 1.073
O 1.039 7.608 5.329
O 1.142 7.370 1.169
O 1.203 1.086 7.426
O 1.236 3.166 5.343
O 3.007 5.450 1.030
O 3.040 7.531 3.113
O 3.101 1.247 5.482
O 3.203 1.009 1.016
O 3.257 5.245 5.386
O 3.271 3.118 7.320
O 3.268 3.262 3.362
O 3.309 7.644 7.701
O 5.176 3.336 5.238
O 5.214 7.427 5.619
O 5.217 7.571 0.951
O 5.228 0.937 7.553
O 5.282 5.317 3.297
O 5.385 5.555 7.456
O 5.445 3.223 1.199
O 5.478 1.142 3.282
O 7.249 7.475 7.595
O 7.283 5.394 5.512
O 7.343 3.062 3.143
O 7.446 3.300 7.610
O 7.500 7.680 3.240
O 7.510 1.046 5.264
O 7.514 1.190 1.306
O 7.551 5.281 0.925

=====

28
Lattice="5.228 -3.030 0.000 5.228 3.030 0.000 -3.691 0.000 9.920" Properties=species:S:1:pos:R:3 comment="Li2V3SnO8 | Alexandria via LeMat-Bulk | PBE with a Hubbard U | optimized geometry" e_above_lowest_polymorph_ev_per_fu=0.868 m_tot_mub_per_fu=5.0 space_group="Cc (9)" vol_a3_per_cell=314 pbc="T T T"
Li 1.520 1.523 8.159
Li 3.383 1.552 4.960
Li 3.365 -1.523 3.198
Li 5.228 -1.552 0.000
V 0.707 0.051 3.200
V -1.139 -0.051 8.160
V 6.884 1.522 0.612
V 4.038 0.116 8.127
V 5.884 -0.116 3.167
V 5.038 -1.522 5.572
Sn 3.288 1.532 1.270
Sn 1.442 -1.532 6.230
O 1.472 1.583 4.333
O -0.286 1.538 9.193
O -0.832 0.126 4.369
O -2.677 -0.126 9.329
O 0.540 0.104 6.925
O 2.386 -0.104 1.964
O 5.195 1.492 1.962
O 3.440 1.417 7.014
O 1.560 -1.538 4.233
O -0.374 -1.583 9.294
O 2.611 0.048 9.326
O 4.456 -0.048 4.366
O 7.618 0.133 1.981
O 5.286 -1.417 2.054
O 3.349 -1.492 6.922
O 5.773 -0.133 6.941

=====

28
Lattice="2.981 -5.223 0.000 2.981 5.223 0.000 -0.005 0.000 9.818" Properties=species:S:1:pos:R:3 comment="Li2V3SnO8 | Alexandria via LeMat-Bulk | PBE with a Hubbard U | optimized geometry" e_above_lowest_polymorph_ev_per_fu=0.000 m_tot_mub_per_fu=5.0 space_group="Cc (9)" vol_a3_per_cell=306 pbc="T T T"
Li 2.979 5.203 4.909
Li 2.888 1.733 8.864
Li 2.891 -1.733 3.955
Li 2.981 -5.203 0.000
V 2.935 3.457 2.142
V 1.495 0.914 2.224
V 1.492 -0.914 7.133
V 4.383 0.893 2.162
V 4.380 -0.893 7.071
V 2.933 -3.457 7.051
Sn 2.945 1.755 4.901
Sn 2.942 -1.755 9.810
O 2.996 5.152 7.989
O 1.563 2.508 3.388
O 1.405 0.855 5.988
O 2.959 3.544 5.924
O 2.834 1.654 1.098
O 1.408 -0.855 1.079
O 2.871 0.183 3.430
O 4.269 2.500 3.378
O 2.868 -0.183 8.339
O 1.560 -2.508 8.297
O 2.832 -1.654 6.006
O 4.492 0.838 5.956
O 4.494 -0.838 1.047
O 2.961 -3.544 1.015
O 4.266 -2.500 8.287
O 2.998 -5.152 3.080